1.
# ZrSc (SCAN, single point on PBEsol structure)
# Calculated formation energy   0.04 eV per formula unit
data_ZrSc
_chemical_formula_sum 'Zr1 Sc1'
_symmetry_space_group_name_H-M 'P -6 m 2'
_symmetry_Int_Tables_number 187
_symmetry_space_group_name_Hall 'P -6 2'
_cell_length_a 3.2201
_cell_length_b 3.2201
_cell_length_c 5.0645
_cell_angle_alpha 90.00
_cell_angle_beta 90.00
_cell_angle_gamma 120.00
loop_
_atom_site_label
_atom_site_fract_x
_atom_site_fract_y
_atom_site_fract_z
Zr1 0.0000 0.0000 0.0000
Sc1 0.6667 0.3333 0.5000

2.
# LiNiRh2 (SCAN, single point on PBEsol structure)
# E above lowest polymorph   0.015 eV per atom
# Calculated formation energy   -0.21 eV per formula unit
data_LiNiRh2
_chemical_formula_sum 'Li2 Ni2 Rh4'
_symmetry_space_group_name_H-M 'I -4 m 2'
_symmetry_Int_Tables_number 119
_symmetry_space_group_name_Hall 'I -4 -2'
_cell_length_a 3.6006
_cell_length_b 3.6006
_cell_length_c 7.4083
_cell_angle_alpha 90.00
_cell_angle_beta 90.00
_cell_angle_gamma 90.00
loop_
_atom_site_label
_atom_site_fract_x
_atom_site_fract_y
_atom_site_fract_z
Li1 0.0000 0.0000 0.0000
Ni1 0.0000 0.5000 0.2500
Rh1 0.0000 0.0000 0.5000
Rh2 0.0000 0.5000 0.7500

3.
# YBeBBr2 (SCAN, single point on PBEsol structure)
# Energy relative to the elements, uncorrected   3.13 eV per formula unit
data_YBeBBr2
_chemical_formula_sum 'Y1 Be1 B1 Br2'
_symmetry_space_group_name_H-M 'P 4/m m m'
_symmetry_Int_Tables_number 123
_symmetry_space_group_name_Hall '-P 4 2'
_cell_length_a 4.4000
_cell_length_b 4.4000
_cell_length_c 5.5503
_cell_angle_alpha 90.00
_cell_angle_beta 90.00
_cell_angle_gamma 90.00
loop_
_atom_site_label
_atom_site_fract_x
_atom_site_fract_y
_atom_site_fract_z
Y1 0.0000 0.0000 0.0000
Be1 0.0000 0.0000 0.5000
B1 0.5000 0.5000 0.0000
Br1 0.0000 0.5000 0.5000

4.
# Hf5Sb9 (SCAN, single point on PBEsol structure)
# Energy relative to the elements, uncorrected   -6.50 eV per formula unit
data_Hf5Sb9
_chemical_formula_sum 'Hf10 Sb18'
_symmetry_space_group_name_H-M 'P 4/n'
_symmetry_Int_Tables_number 85
_cell_length_a 8.6968
_cell_length_b 8.6968
_cell_length_c 8.6383
_cell_angle_alpha 90.00
_cell_angle_beta 90.00
_cell_angle_gamma 90.00
loop_
_symmetry_equiv_pos_as_xyz
'x,y,z'
'-x,-y,-z'
'-y+1/2,x,z'
'y+1/2,-x,-z'
'-x+1/2,-y+1/2,z'
'x+1/2,y+1/2,-z'
'y,-x+1/2,z'
'-y,x+1/2,-z'
loop_
_atom_site_label
_atom_site_fract_x
_atom_site_fract_y
_atom_site_fract_z
Hf1 0.0430 0.6444 0.2339
Hf2 0.2500 0.2500 0.2455
Sb1 0.0176 0.1707 0.4977
Sb2 0.0533 0.6532 0.8832
Sb3 0.2500 0.2500 0.8940

5.
# Cd2InAg (SCAN, single point on PBEsol structure)
# Calculated formation energy   0.04 eV per formula unit
data_Cd2InAg
_chemical_formula_sum 'Cd4 In2 Ag2'
_symmetry_space_group_name_H-M 'I m m 2'
_symmetry_Int_Tables_number 44
_cell_length_a 2.9205
_cell_length_b 4.8051
_cell_length_c 12.4198
_cell_angle_alpha 90.00
_cell_angle_beta 90.00
_cell_angle_gamma 90.00
loop_
_symmetry_equiv_pos_as_xyz
'x,y,z'
'-x,-y,z'
'-x,y,z'
'x,-y,z'
'x+1/2,y+1/2,z+1/2'
'-x+1/2,-y+1/2,z+1/2'
'-x+1/2,y+1/2,z+1/2'
'x+1/2,-y+1/2,z+1/2'
loop_
_atom_site_label
_atom_site_fract_x
_atom_site_fract_y
_atom_site_fract_z
Cd1 0.0000 0.0000 0.0000
Cd2 0.0000 0.5000 0.1930
In1 0.0000 0.5000 0.7894
Ag1 0.0000 0.0000 0.4916

6.
# La2MgTl (SCAN, single point on PBEsol structure)
# E above lowest polymorph   0.051 eV per atom
# Calculated formation energy   -1.44 eV per formula unit
data_La2MgTl
_chemical_formula_sum 'La4 Mg2 Tl2'
_symmetry_space_group_name_H-M 'A m m 2'
_symmetry_Int_Tables_number 38
_cell_length_a 4.9934
_cell_length_b 3.6443
_cell_length_c 12.9319
_cell_angle_alpha 90.00
_cell_angle_beta 90.00
_cell_angle_gamma 90.00
loop_
_symmetry_equiv_pos_as_xyz
'x,y,z'
'-x,-y,z'
'-x,y,z'
'x,-y,z'
'x,y+1/2,z+1/2'
'-x,-y+1/2,z+1/2'
'-x,y+1/2,z+1/2'
'x,-y+1/2,z+1/2'
loop_
_atom_site_label
_atom_site_fract_x
_atom_site_fract_y
_atom_site_fract_z
La1 0.0000 0.0000 0.0000
La2 0.5000 0.0000 0.3352
Mg1 0.0000 0.0000 0.7307
Tl1 0.5000 0.0000 0.6016

7.
# V3Ge (SCAN, single point on PBEsol structure)
# Calculated formation energy   -1.64 eV per formula unit
data_V3Ge
_chemical_formula_sum 'V6 Ge2'
_symmetry_space_group_name_H-M 'P m -3 n'
_symmetry_Int_Tables_number 223
_symmetry_space_group_name_Hall '-P 4n 2 3'
_cell_length_a 4.6963
_cell_length_b 4.6963
_cell_length_c 4.6963
_cell_angle_alpha 90.00
_cell_angle_beta 90.00
_cell_angle_gamma 90.00
loop_
_atom_site_label
_atom_site_fract_x
_atom_site_fract_y
_atom_site_fract_z
V1 0.0000 0.2500 0.5000
Ge1 0.0000 0.0000 0.0000

8.
# BeHgAu2 (SCAN, single point on PBEsol structure)
# E above lowest polymorph   0.000 eV per atom
# Calculated formation energy   -0.47 eV per formula unit
data_BeHgAu2
_chemical_formula_sum 'Be1 Hg1 Au2'
_symmetry_space_group_name_H-M 'P 1 2/m 1'
_symmetry_Int_Tables_number 10
_cell_length_a 2.9141
_cell_length_b 2.9194
_cell_length_c 7.4100
_cell_angle_alpha 90.00
_cell_angle_beta 92.26
_cell_angle_gamma 90.00
loop_
_symmetry_equiv_pos_as_xyz
'x,y,z'
'-x,-y,-z'
'-x,y,-z'
'x,-y,z'
loop_
_atom_site_label
_atom_site_fract_x
_atom_site_fract_y
_atom_site_fract_z
Be1 0.0000 0.0000 0.0000
Hg1 0.0000 0.0000 0.5000
Au1 0.4753 0.5000 0.8069